5
Lattice="6.0382 0.0000 0.0000 0.0000 6.0382 0.0000 0.0000 0.0000 4.8151" Properties=species:S:1:pos:R:3 comment="Sr2InCuBr, relaxed, DFT PBE-GGA" e_form_raw_ev_per_atom=-0.54 magmom_total_mub_per_cell=0.0 density_g_cm3=4.1 pbc="T T T"
Sr 0.0000 3.0191 0.0000
Sr 3.0191 0.0000 0.0000
In 0.0000 0.0000 2.4075
Cu 0.0000 0.0000 0.0000
Br 3.0191 3.0191 2.4075